No. 1
The following is a GGA-PBE calculation of a geometry-optimized Tb3Cd5O12 structure, from the Alexandria database.

## Properties
calculated density: 7.01 g/cm3
ΔE_f (raw): -36.5 kcal/mol of atoms

Unit cell a=11.482 b=11.482 c=11.482 alpha=109.47 beta=109.47 gamma=109.47
Site moments in Bohr magnetons follow the coordinates.
Positions (direct):
1 Tb 0.875 0.125 0.250  -0.01
2 Tb 0.375 0.750 0.625  -0.01
3 Cd 0.000 0.500 0.500  0.04
4 O 0.084 0.915 0.360  0.13
5 Cd 0.875 0.625 0.750  0.02
6 O 0.331 0.775 0.416  0.13
7 O 0.640 0.585 0.916  0.13
8 O 0.915 0.831 0.556  0.13
9 O 0.725 0.584 0.169  0.13
10 O 0.225 0.556 0.640  0.13
11 O 0.725 0.140 0.056  0.13
12 Tb 0.250 0.125 0.375  -0.01
13 O 0.831 0.916 0.275  0.13
14 Cd 0.500 0.500 0.000  0.04
15 O 0.415 0.360 0.584  0.13
16 O 0.140 0.416 0.085  0.13
17 O 0.360 0.415 0.084  0.13
18 O 0.944 0.585 0.169  0.13
19 Tb 0.750 0.375 0.125  -0.01
20 O 0.085 0.169 0.444  0.13
21 Tb 0.125 0.250 0.875  -0.01
22 O 0.056 0.415 0.831  0.13
23 O 0.584 0.860 0.415  0.13
24 O 0.275 0.416 0.831  0.13
25 O 0.415 0.056 0.331  0.13
26 O 0.169 0.084 0.725  0.13
27 O 0.916 0.831 0.775  0.13
28 O 0.225 0.669 0.084  0.13
29 Cd 0.875 0.250 0.625  0.02
30 O 0.169 0.085 0.944  0.13
31 O 0.275 0.860 0.944  0.13
32 O 0.669 0.444 0.585  0.13
33 Cd 0.000 0.000 0.000  0.04
34 O 0.140 0.725 0.556  0.13
35 Cd 0.625 0.875 0.250  0.02
36 Cd 0.250 0.375 0.625  0.02
37 O 0.669 0.225 0.584  0.13
38 Cd 0.625 0.750 0.875  0.02
39 O 0.056 0.640 0.725  0.13
40 O 0.775 0.331 0.916  0.13
41 O 0.584 0.725 0.669  0.13
42 O 0.416 0.275 0.331  0.13
43 O 0.860 0.275 0.444  0.13
44 Cd 0.000 0.000 0.500  0.04
45 O 0.444 0.775 0.860  0.13
46 Cd 0.250 0.875 0.125  0.02
47 Cd 0.375 0.250 0.125  0.02
48 Tb 0.750 0.875 0.625  -0.01
49 Cd 0.500 0.500 0.500  0.04
50 Tb 0.375 0.625 0.250  -0.01
51 Cd 0.125 0.750 0.375  0.02
52 O 0.585 0.944 0.669  0.13
53 Cd 0.500 0.000 0.500  0.04
54 Cd 0.125 0.375 0.250  0.02
55 O 0.831 0.915 0.056  0.13
56 O 0.775 0.444 0.360  0.13
57 Cd 0.500 0.000 0.000  0.04
58 Tb 0.625 0.250 0.375  -0.01
59 Tb 0.250 0.625 0.875  -0.01
60 Cd 0.000 0.500 0.000  0.04
61 O 0.585 0.640 0.416  0.13
62 O 0.085 0.916 0.140  0.13
63 O 0.860 0.584 0.915  0.13
64 Cd 0.750 0.125 0.875  0.02
65 O 0.556 0.225 0.140  0.13
66 O 0.360 0.944 0.775  0.13
67 O 0.331 0.556 0.415  0.13
68 Tb 0.625 0.375 0.750  -0.01
69 Tb 0.875 0.750 0.125  -0.01
70 O 0.084 0.169 0.225  0.13
71 O 0.915 0.084 0.860  0.13
72 Cd 0.375 0.125 0.750  0.02
73 O 0.444 0.669 0.085  0.13
74 Tb 0.125 0.875 0.750  -0.01
75 O 0.944 0.360 0.275  0.13
76 O 0.416 0.140 0.585  0.13
77 Cd 0.750 0.625 0.375  0.02
78 O 0.640 0.056 0.225  0.13
79 O 0.916 0.085 0.640  0.13
80 O 0.556 0.331 0.915  0.13

No. 2
The following is a GGA-PBE calculation of a geometry-optimized Nd6TmMg structure, from the Alexandria database.

## Properties
DFT formation energy: 93 meV/atom
offset from the most stable computed form: 93 meV/atom
calculated density: 6.58 g/cm3

Unit cell a=9.676 b=8.646 c=6.488 alpha=48.21 beta=41.76 gamma=55.98
Positions (direct):
1 Tm 0.500 0.500 0.500
2 Nd 0.471 0.760 0.822
3 Nd 0.054 0.471 0.715
4 Nd 0.946 0.529 0.285
5 Nd 0.760 0.946 0.764
6 Nd 0.529 0.240 0.178
7 Mg 0.000 0.000 0.000
8 Nd 0.240 0.054 0.236

No. 3
The following is a GGA-PBE calculation of a geometry-optimized Li2SmAsO structure, from the Alexandria database.

## Properties
calculated density: 5.15 g/cm3
ΔE_f (raw): -39.0 kcal/mol of atoms

Unit cell a=4.174 b=4.174 c=4.722 alpha=90.00 beta=90.00 gamma=90.00
Positions (direct):
1 O 0.000 0.000 0.000
2 Li 0.500 0.000 0.000
3 As 0.500 0.500 0.500
4 Li 0.000 0.500 0.000
5 Sm 0.000 0.000 0.500

No. 4
The following is a GGA-PBE calculation of a geometry-optimized Tb2Y5Ho12 structure, from the Alexandria database.

## Properties
DFT formation energy: 125 meV/atom
offset from the most stable computed form: 60 meV/atom
calculated density: 7.43 g/cm3

Unit cell a=9.141 b=9.120 c=8.499 alpha=91.14 beta=90.00 gamma=120.08
Positions (direct):
1 Y 0.699 0.399 0.010
2 Y 0.767 0.534 0.426
3 Y 0.301 0.601 0.990
4 Tb 0.321 0.000 0.000
5 Ho 0.566 0.746 0.339
6 Y 0.233 0.466 0.574
7 Ho 0.910 0.819 0.115
8 Ho 0.336 0.308 0.244
9 Ho 0.180 0.746 0.339
10 Ho 0.028 0.692 0.756
11 Ho 0.557 0.113 0.335
12 Ho 0.434 0.254 0.661
13 Tb 0.679 0.000 0.000
14 Ho 0.090 0.181 0.885
15 Ho 0.664 0.692 0.756
16 Ho 0.820 0.254 0.661
17 Y 0.000 0.000 0.500
18 Ho 0.972 0.308 0.244
19 Ho 0.443 0.887 0.665

No. 5
The following is a GGA-PBE calculation of a geometry-optimized SmBeOs structure, from the Alexandria database.

## Properties
DFT formation energy: -119 meV/atom
offset from the most stable computed form: 0 meV/atom
calculated density: 11.38 g/cm3

Unit cell a=5.434 b=5.214 c=5.214 alpha=59.80 beta=58.60 gamma=58.60
Positions (direct):
1 Sm 0.870 0.380 0.380
2 Sm 0.130 0.620 0.620
3 Os 0.500 0.500 0.000
4 Os 0.500 0.000 0.500
5 Be 0.500 0.000 0.000
6 Be 0.000 0.000 0.000

No. 6
The following is a GGA-PBE calculation of a geometry-optimized Tl2Pb2Au structure, from the Alexandria database.

## Properties
DFT formation energy: 211 meV/atom
offset from the most stable computed form: 194 meV/atom
calculated density: 11.03 g/cm3

Unit cell a=4.196 b=4.196 c=9.217 alpha=76.84 beta=76.84 gamma=90.00
Positions (direct):
1 Pb 0.411 0.411 0.179
2 Pb 0.589 0.589 0.821
3 Tl 0.250 0.750 0.500
4 Tl 0.750 0.250 0.500
5 Au 0.000 0.000 0.000

No. 7
The following is a GGA-PBE calculation of a geometry-optimized RbV2CuSe8 structure, from the Alexandria database.

## Properties
calculated density: 4.42 g/cm3
ΔE_f (raw): -7.2 kcal/mol of atoms

Unit cell a=6.136 b=6.136 c=10.762 alpha=73.44 beta=73.44 gamma=60.00
Positions (direct):
1 Se 0.371 0.710 0.850
2 Se 0.710 0.069 0.850
3 Se 0.290 0.931 0.150
4 Cu 0.000 0.000 0.000
5 Se 0.069 0.371 0.850
6 V 0.257 0.257 0.230
7 Rb 0.500 0.500 0.500
8 Se 0.818 0.818 0.545
9 V 0.743 0.743 0.770
10 Se 0.931 0.629 0.150
11 Se 0.182 0.182 0.455
12 Se 0.629 0.290 0.150

No. 8
The following is a GGA-PBE calculation of a geometry-optimized LaTbErS3 structure, from the Alexandria database.

## Properties
calculated density: 6.83 g/cm3
ΔE_f (raw): -46.0 kcal/mol of atoms

Unit cell a=3.919 b=6.876 c=10.377 alpha=102.77 beta=90.00 gamma=90.00
Positions (direct):
1 S 0.750 0.552 0.162
2 S 0.250 0.950 0.843
3 La 0.750 0.654 0.693
4 Er 0.250 0.126 0.633
5 S 0.250 0.735 0.498
6 La 0.250 0.346 0.307
7 Er 0.750 0.874 0.367
8 S 0.750 0.050 0.157
9 S 0.750 0.265 0.502
10 Tb 0.250 0.767 0.055
11 Tb 0.750 0.233 0.945
12 S 0.250 0.448 0.838

No. 9
The following is a GGA-PBE calculation of a geometry-optimized Pr3Pa3TaN8 structure, from the Alexandria database.

## Properties
calculated density: 9.55 g/cm3
ΔE_f (raw): -32.9 kcal/mol of atoms

Unit cell a=6.953 b=6.953 c=7.095 alpha=119.34 beta=89.99 gamma=120.00
Positions (direct):
1 N 0.754 0.973 0.692
2 N 0.781 0.027 0.308
3 N 0.219 0.438 0.692
4 Pa 0.500 0.000 0.500
5 Pr 0.500 0.500 0.000
6 N 0.246 0.027 0.308
7 N 0.219 0.973 0.692
8 N 0.781 0.562 0.308
9 Pr 0.000 0.500 0.000
10 N 0.737 0.473 0.710
11 Pa 0.000 0.500 0.500
12 Pa 0.500 0.500 0.500
13 N 0.263 0.527 0.290
14 Pr 0.000 0.000 0.000
15 Ta 0.000 0.000 0.500

No. 10
The following is a GGA-PBE calculation of a geometry-optimized TbBrCl structure, from the Alexandria database.

## Properties
calculated density: 4.92 g/cm3
ΔE_f (raw): -40.6 kcal/mol of atoms

Unit cell a=3.819 b=3.819 c=7.333 alpha=90.00 beta=90.00 gamma=120.00
Positions (direct):
1 Br 0.000 0.000 0.089
2 Tb 0.667 0.333 0.342
3 Cl 0.333 0.667 0.569

No. 11
The following is a GGA-PBE calculation of a geometry-optimized MgTi2P2O10 structure, from the Alexandria database.

## Properties
offset from the most stable computed form: 80 meV/atom
calculated density: 3.08 g/cm3
ΔE_f (raw): -60.0 kcal/mol of atoms

Unit cell a=10.482 b=9.627 c=6.704 alpha=77.58 beta=63.76 gamma=38.66
Positions (direct):
1 O 0.515 0.211 0.025
2 P 0.307 0.819 0.216
3 Ti 0.857 0.324 0.881
4 O 0.915 0.374 0.600
5 O 0.139 0.879 0.152
6 O 0.238 0.429 0.706
7 O 0.098 0.421 0.111
8 P 0.431 0.943 0.592
9 O 0.288 0.751 0.442
10 Mg 0.237 0.763 0.763
11 O 0.371 0.111 0.421
12 O 0.876 0.335 0.140
13 O 0.821 0.012 0.623
14 P 0.034 0.592 0.943
15 Ti 0.369 0.312 0.393
16 O 0.110 0.600 0.374
17 P 0.658 0.216 0.819
18 O 0.249 0.025 0.211
19 O 0.225 0.001 0.735
20 O 0.650 0.140 0.335
21 Mg 0.487 0.013 0.013
22 O 0.519 0.442 0.751
23 O 0.627 0.706 0.429
24 O 0.499 0.962 0.731
25 O 0.808 0.731 0.962
26 Ti 0.926 0.393 0.312
27 O 0.829 0.152 0.879
28 O 0.039 0.735 0.001
29 Ti 0.938 0.881 0.324
30 O 0.544 0.623 0.012

No. 12
The following is a GGA-PBE calculation of a geometry-optimized BeZn4Cd structure, from the Alexandria database.

## Properties
DFT formation energy: 271 meV/atom
calculated density: 6.81 g/cm3

Unit cell a=5.093 b=5.093 c=5.093 alpha=60.00 beta=60.00 gamma=60.00
Positions (direct):
1 Zn 0.873 0.376 0.376
2 Be 0.750 0.750 0.750
3 Zn 0.376 0.376 0.376
4 Cd 0.000 0.000 0.000
5 Zn 0.376 0.376 0.873
6 Zn 0.376 0.873 0.376

| no. | raw total energy (eV per formula unit) |
| --- | --- |
| 1 | -109.623 |
| 2 | -33.929 |
| 3 | -26.617 |
| 4 | -94.144 |
| 5 | -20.033 |
| 6 | -14.371 |
| 7 | -54.911 |
| 8 | -38.467 |
| 9 | -142.676 |
| 10 | -13.435 |
| 11 | -116.839 |
| 12 | -8.111 |